NaBi12Pd4 PBE relaxed; uncorrected energy = -4.233 eV per atom; V = 29.3 A^3/atom
1.0
8.6527 0.0000 0.0000
-2.8842 8.1579 0.0000
-2.8842 -4.0789 7.0649
Na Bi Pd
1 12 4
Direct
0.0000 0.0000 0.0000 Na
0.8412 0.3400 0.1812 Bi
0.3400 0.4989 0.1588 Bi
0.8188 0.1588 0.6600 Bi
0.3400 0.1812 0.8412 Bi
0.1812 0.8412 0.3400 Bi
0.6600 0.5011 0.8412 Bi
0.4989 0.1588 0.3400 Bi
0.5011 0.8412 0.6600 Bi
0.6600 0.8188 0.1588 Bi
0.8412 0.6600 0.5011 Bi
0.1588 0.3400 0.4989 Bi
0.1588 0.6600 0.8188 Bi
0.0000 0.5000 0.0000 Pd
0.5000 0.0000 0.0000 Pd
0.5000 0.5000 0.5000 Pd
0.0000 0.0000 0.5000 Pd